1.
## InSn2HgOs (PBE)

Data for a relaxed structure of InSn2HgOs.

Properties
Calculated volume ... 27.97 Å³ per atom
Crystal system ... tetragonal
Calculated density ... 8.8 g/cm³
DFT total energy ... -4.29 eV per atom
ΔH_f (0 K) ... 163 meV per atom

Cell and atoms, written as CIF:
```
data_InSn2HgOs
_chemical_formula_sum 'In1 Sn2 Hg1 Os1'
_cell_length_a 5.155
_cell_length_b 5.155
_cell_length_c 5.263
_cell_angle_alpha 90.00
_cell_angle_beta 90.00
_cell_angle_gamma 90.00
_space_group_name_H-M_alt 'P 4/m m m'
_space_group_IT_number 123
_space_group_name_Hall '-P 4 2'
loop_
_atom_site_label
_atom_site_fract_x
_atom_site_fract_y
_atom_site_fract_z
In1 0.000 0.000 0.000
Sn1 0.000 0.500 0.500
Hg1 0.500 0.500 0.000
Os1 0.000 0.000 0.500
```

2.
## NaAgSbI2 (PBE)

Data for a relaxed structure of NaAgSbI2.

Properties
Calculated volume ... 38.69 Å³ per atom
Crystal system ... tetragonal
ΔE to the lowest computed polymorph ... 0.000 eV per atom
Calculated density ... 4.3 g/cm³
DFT total energy ... -2.32 eV per atom
Formation energy (no corrections) ... -0.039 eV per atom

Cell and atoms, written as CIF:
```
data_NaAgSbI2
_chemical_formula_sum 'Na1 Ag1 Sb1 I2'
_cell_length_a 5.996
_cell_length_b 5.996
_cell_length_c 5.381
_cell_angle_alpha 90.00
_cell_angle_beta 90.00
_cell_angle_gamma 90.00
_space_group_name_H-M_alt 'P 4/m m m'
_space_group_IT_number 123
_space_group_name_Hall '-P 4 2'
loop_
_atom_site_label
_atom_site_fract_x
_atom_site_fract_y
_atom_site_fract_z
Na1 0.000 0.000 0.000
Ag1 0.500 0.500 0.500
Sb1 0.500 0.500 0.000
I1 0.000 0.500 0.500
```

3.
## Dy8GaCu2 (PBE)

Data for a relaxed structure of Dy8GaCu2.

Properties
Calculated volume ... 26.82 Å³ per atom
Crystal system ... monoclinic
ΔE to the lowest computed polymorph ... 0.124 eV per atom
Calculated density ... 8.4 g/cm³
DFT total energy ... -4.43 eV per atom
ΔH_f (0 K) ... -62 meV per atom

Cell and atoms, written as CIF:
```
data_Dy8GaCu2
_chemical_formula_sum 'Dy16 Ga2 Cu4'
_cell_length_a 8.549
_cell_length_b 13.488
_cell_length_c 5.362
_cell_angle_alpha 90.00
_cell_angle_beta 107.42
_cell_angle_gamma 90.00
_space_group_name_H-M_alt 'C 1 m 1'
_space_group_IT_number 8
loop_
_space_group_symop_operation_xyz
'x,y,z'
'x,-y,z'
'x+1/2,y+1/2,z'
'x+1/2,-y+1/2,z'
loop_
_atom_site_label
_atom_site_fract_x
_atom_site_fract_y
_atom_site_fract_z
Dy1 0.000 0.000 0.000
Dy2 0.095 0.376 0.787
Dy3 0.177 0.124 0.597
Dy4 0.271 0.500 0.381
Dy5 0.386 0.230 0.191
Ga1 0.386 0.000 0.181
Cu1 0.385 0.306 0.690
```

4.
## Ce4Bi8Au3 (PBE)

Data for a relaxed structure of Ce4Bi8Au3.

Properties
Calculated volume ... 28.44 Å³ per atom
Crystal system ... tetragonal
Calculated density ... 11.0 g/cm³
DFT total energy ... -4.88 eV per atom
ΔH_f (0 K) ... -572 meV per atom

Cell and atoms, written as CIF:
```
data_Ce4Bi8Au3
_chemical_formula_sum 'Ce4 Bi8 Au3'
_cell_length_a 4.666
_cell_length_b 4.666
_cell_length_c 19.593
_cell_angle_alpha 90.00
_cell_angle_beta 90.00
_cell_angle_gamma 90.00
_space_group_name_H-M_alt 'P -4 m 2'
_space_group_IT_number 115
loop_
_space_group_symop_operation_xyz
'x,y,z'
'y,-x,-z'
'-x,-y,z'
'-y,x,-z'
'-x,y,z'
'-y,-x,-z'
'x,-y,z'
'y,x,-z'
loop_
_atom_site_label
_atom_site_fract_x
_atom_site_fract_y
_atom_site_fract_z
Ce1 0.000 0.500 0.113
Ce2 0.000 0.500 0.618
Bi1 0.000 0.000 0.246
Bi2 0.000 0.500 0.401
Bi3 0.000 0.500 0.913
Bi4 0.500 0.500 0.247
Au1 0.000 0.000 0.000
Au2 0.000 0.000 0.500
Au3 0.500 0.500 0.500
```

5.
## CrRuAu2 (PBE)

Data for a relaxed structure of CrRuAu2.

Properties
Calculated volume ... 16.13 Å³ per atom
Crystal system ... monoclinic
ΔE to the lowest computed polymorph ... 0.200 eV per atom
Calculated density ... 14.1 g/cm³
DFT total energy ... -6.02 eV per atom
ΔH_f (0 K) ... 343 meV per atom

Cell and atoms, written as CIF:
```
data_CrRuAu2
_chemical_formula_sum 'Cr1 Ru1 Au2'
_cell_length_a 4.756
_cell_length_b 2.939
_cell_length_c 4.840
_cell_angle_alpha 90.00
_cell_angle_beta 107.46
_cell_angle_gamma 90.00
_space_group_name_H-M_alt 'P 1 2/m 1'
_space_group_IT_number 10
loop_
_space_group_symop_operation_xyz
'x,y,z'
'-x,-y,-z'
'-x,y,-z'
'x,-y,z'
loop_
_atom_site_label
_atom_site_fract_x
_atom_site_fract_y
_atom_site_fract_z
Cr1 0.000 0.000 0.000
Ru1 0.500 0.500 0.000
Au1 0.000 0.500 0.500
Au2 0.500 0.000 0.500
```

6.
## BaMg2Ni (PBE)

Data for a relaxed structure of BaMg2Ni.

Properties
Calculated volume ... 25.82 Å³ per atom
Crystal system ... orthorhombic
Calculated density ... 3.9 g/cm³
DFT total energy ... -2.26 eV per atom
ΔH_f (0 K) ... 461 meV per atom

Cell and atoms, written as CIF:
```
data_BaMg2Ni
_chemical_formula_sum 'Ba2 Mg4 Ni2'
_cell_length_a 5.872
_cell_length_b 10.838
_cell_length_c 3.245
_cell_angle_alpha 90.00
_cell_angle_beta 90.00
_cell_angle_gamma 90.00
_space_group_name_H-M_alt 'C m m m'
_space_group_IT_number 65
_space_group_name_Hall '-C 2 2'
loop_
_atom_site_label
_atom_site_fract_x
_atom_site_fract_y
_atom_site_fract_z
Ba1 0.000 0.000 0.000
Mg1 0.250 0.250 0.500
Ni1 0.000 0.500 0.000
```

7.
## LiNpAg2S4 (PBE)

Data for a relaxed structure of LiNpAg2S4.

Properties
Calculated volume ... 19.65 Å³ per atom
Crystal system ... monoclinic
Calculated density ... 6.2 g/cm³
DFT total energy ... -5.36 eV per atom
Formation energy (no corrections) ... -0.728 eV per atom

Cell and atoms, written as CIF:
```
data_LiNpAg2S4
_chemical_formula_sum 'Li1 Np1 Ag2 S4'
_cell_length_a 6.287
_cell_length_b 4.000
_cell_length_c 6.603
_cell_angle_alpha 90.00
_cell_angle_beta 108.74
_cell_angle_gamma 90.00
_space_group_name_H-M_alt 'P 1 2/m 1'
_space_group_IT_number 10
loop_
_space_group_symop_operation_xyz
'x,y,z'
'-x,-y,-z'
'-x,y,-z'
'x,-y,z'
loop_
_atom_site_label
_atom_site_fract_x
_atom_site_fract_y
_atom_site_fract_z
Li1 0.000 0.000 0.000
Np1 0.000 0.500 0.500
Ag1 0.500 0.000 0.500
Ag2 0.500 0.500 0.000
S1 0.233 0.500 0.247
S2 0.235 0.000 0.741
```

8.
## Sc2FeSnIr (PBE)

Data for a relaxed structure of Sc2FeSnIr.

Properties
Calculated volume ... 20.24 Å³ per atom
Crystal system ... tetragonal
Calculated density ... 7.5 g/cm³
DFT total energy ... -6.84 eV per atom
ΔH_f (0 K) ... -40 meV per atom

Cell and atoms, written as CIF:
```
data_Sc2FeSnIr
_chemical_formula_sum 'Sc2 Fe1 Sn1 Ir1'
_cell_length_a 4.728
_cell_length_b 4.728
_cell_length_c 4.527
_cell_angle_alpha 90.00
_cell_angle_beta 90.00
_cell_angle_gamma 90.00
_space_group_name_H-M_alt 'P 4/m m m'
_space_group_IT_number 123
_space_group_name_Hall '-P 4 2'
loop_
_atom_site_label
_atom_site_fract_x
_atom_site_fract_y
_atom_site_fract_z
Sc1 0.000 0.500 0.000
Fe1 0.000 0.000 0.000
Sn1 0.500 0.500 0.500
Ir1 0.000 0.000 0.500
```